Sm3PSeCl: optimized geometry, PBE.

Lattice parameters (Å, degrees): 8.433 4.048 10.022 90.00 92.49 90.00
Atoms (fractional coordinates):
Sm 0.111 0.250 0.356
Sm 0.156 0.250 0.919
Sm 0.367 0.750 0.632
Sm 0.633 0.250 0.368
Sm 0.844 0.750 0.081
Sm 0.889 0.750 0.644
P 0.130 0.250 0.640
P 0.870 0.750 0.360
Se 0.373 0.750 0.339
Se 0.627 0.250 0.661
Cl 0.381 0.750 0.913
Cl 0.619 0.250 0.087

As for the symmetry: P2_1/m (11). The magnetic moment is 1.35 Bohr magnetons per cell. The value obtained for the density is 5.8 Mg/m³. The formation energy (no corrections) comes out at -1554 meV per atom.